(1)
The following is a PBE-GGA calculation of crystalline Rb3Dy3YSe8 at its relaxed geometry, from the Alexandria database.

```
data_Rb3Dy3YSe8
_chemical_formula_sum 'Rb9 Dy9 Y3 Se24'
_cell_length_a 8.3391
_cell_length_b 8.3391
_cell_length_c 24.5624
_cell_angle_alpha 90.00
_cell_angle_beta 90.00
_cell_angle_gamma 120.00
_symmetry_space_group_name_H-M 'R -3 m'
_symmetry_Int_Tables_number 166
_symmetry_space_group_name_Hall '-R 3 2"'
loop_
_atom_site_label
_atom_site_type_symbol
_atom_site_fract_x
_atom_site_fract_y
_atom_site_fract_z
Rb1 Rb 0.0000 0.5000 0.0000
Dy1 Dy 0.0000 0.5000 0.5000
Y1 Y 0.0000 0.0000 0.5000
Se1 Se 0.0000 0.0000 0.2319
Se2 Se 0.0014 0.5007 0.7688
```

Computed properties:
total energy = -5.075 eV/atom
magnetization = 0.0 μB/f.u.
N(E_F) = 27.76 states/eV/cell
ΔE_f (raw) = -25.07 eV per formula unit
crystal system = trigonal

***

(2)
The following is a PBE-GGA calculation of crystalline Rb2DyYSe4 at its relaxed geometry, from the Alexandria database.

```
data_Rb2DyYSe4
_chemical_formula_sum 'Rb2 Dy1 Y1 Se4'
_cell_length_a 7.349
_cell_length_b 4.244
_cell_length_c 8.359
_cell_angle_alpha 90.00
_cell_angle_beta 107.02
_cell_angle_gamma 90.00
_symmetry_space_group_name_H-M 'P 1 2/m 1'
_symmetry_Int_Tables_number 10
loop_
_symmetry_equiv_pos_as_xyz
'x,y,z'
'-x,-y,-z'
'-x,y,-z'
'x,-y,z'
loop_
_atom_site_label
_atom_site_type_symbol
_atom_site_fract_x
_atom_site_fract_y
_atom_site_fract_z
Rb1 Rb 0.000 0.000 0.000
Rb2 Rb 0.500 0.500 0.000
Dy1 Dy 0.000 0.500 0.500
Y1 Y 0.500 0.000 0.500
Se1 Se 0.231 0.000 0.696
Se2 Se 0.268 0.500 0.304
```

Computed properties:
total energy = -5.112 eV/atom
magnetization = 0.0 μB/f.u.
N(E_F) = 0.00 states/eV/cell
ΔE_f (raw) = -13.95 eV per formula unit
crystal system = monoclinic

***

(3)
The following is a PBE-GGA calculation of crystalline Rb4Dy3YSe8 at its relaxed geometry, from the Alexandria database.

```
data_Rb4Dy3YSe8
_chemical_formula_sum 'Rb12 Dy9 Y3 Se24'
_cell_length_a 8.4848
_cell_length_b 8.4848
_cell_length_c 23.9783
_cell_angle_alpha 90.00
_cell_angle_beta 90.00
_cell_angle_gamma 120.00
_symmetry_space_group_name_H-M 'R -3 m'
_symmetry_Int_Tables_number 166
_symmetry_space_group_name_Hall '-R 3 2"'
loop_
_atom_site_label
_atom_site_type_symbol
_atom_site_fract_x
_atom_site_fract_y
_atom_site_fract_z
Rb1 Rb 0.0000 0.0000 0.0000
Rb2 Rb 0.0000 0.5000 0.0000
Dy1 Dy 0.0000 0.5000 0.5000
Y1 Y 0.0000 0.0000 0.5000
Se1 Se 0.0000 0.0000 0.2318
Se2 Se 0.9997 0.4998 0.2319
```

Computed properties:
total energy = -4.993 eV/atom
magnetization = 0.0 μB/f.u.
N(E_F) = 0.00 states/eV/cell
ΔE_f (raw) = -27.87 eV per formula unit
crystal system = trigonal

***

(4)
The following is a PBE-GGA calculation of crystalline Rb3Dy2YSe6 at its relaxed geometry, from the Alexandria database.

```
data_Rb3Dy2YSe6
_chemical_formula_sum 'Rb6 Dy4 Y2 Se12'
_cell_length_a 7.348
_cell_length_b 12.727
_cell_length_c 8.361
_cell_angle_alpha 90.00
_cell_angle_beta 107.04
_cell_angle_gamma 90.00
_symmetry_space_group_name_H-M 'C 1 2/m 1'
_symmetry_Int_Tables_number 12
loop_
_symmetry_equiv_pos_as_xyz
'x,y,z'
'-x,-y,-z'
'-x,y,-z'
'x,-y,z'
'x+1/2,y+1/2,z'
'-x+1/2,-y+1/2,-z'
'-x+1/2,y+1/2,-z'
'x+1/2,-y+1/2,z'
loop_
_atom_site_label
_atom_site_type_symbol
_atom_site_fract_x
_atom_site_fract_y
_atom_site_fract_z
Rb1 Rb 0.000 0.000 0.000
Rb2 Rb 0.000 0.333 0.000
Dy1 Dy 0.000 0.167 0.500
Y1 Y 0.000 0.500 0.500
Se1 Se 0.231 0.000 0.696
Se2 Se 0.232 0.333 0.696
```

Computed properties:
total energy = -5.033 eV/atom
magnetization = 0.0 μB/f.u.
N(E_F) = 0.00 states/eV/cell
ΔE_f (raw) = -20.91 eV per formula unit
crystal system = monoclinic

***

(5)
The following is a PBE-GGA calculation of crystalline RbDy4YSe8 at its relaxed geometry, from the Alexandria database.

```
data_RbDy4YSe8
_chemical_formula_sum 'Rb3 Dy12 Y3 Se24'
_cell_length_a 8.6324
_cell_length_b 8.6324
_cell_length_c 21.2060
_cell_angle_alpha 90.00
_cell_angle_beta 90.00
_cell_angle_gamma 120.00
_symmetry_space_group_name_H-M 'R 3 m'
_symmetry_Int_Tables_number 160
_symmetry_space_group_name_Hall 'R 3 -2"'
loop_
_atom_site_label
_atom_site_type_symbol
_atom_site_fract_x
_atom_site_fract_y
_atom_site_fract_z
Rb1 Rb 0.0000 0.0000 0.0000
Dy1 Dy 0.0000 0.0000 0.7489
Dy2 Dy 0.0125 0.5062 0.8757
Y1 Y 0.0000 0.0000 0.3691
Se1 Se 0.0000 0.0000 0.1423
Se2 Se 0.0000 0.0000 0.6168
Se3 Se 0.0194 0.5097 0.1264
Se4 Se 0.1900 0.3801 0.9512
```

Computed properties:
total energy = -5.559 eV/atom
magnetization = 0.0 μB/f.u.
N(E_F) = 0.00 states/eV/cell
ΔE_f (raw) = -24.11 eV per formula unit
crystal system = trigonal

***

(6)
The following is a PBE-GGA calculation of crystalline Rb3DyY2Se6 at its relaxed geometry, from the Alexandria database.

```
data_Rb3DyY2Se6
_chemical_formula_sum 'Rb6 Dy2 Y4 Se12'
_cell_length_a 7.349
_cell_length_b 12.729
_cell_length_c 8.362
_cell_angle_alpha 90.00
_cell_angle_beta 107.04
_cell_angle_gamma 90.00
_symmetry_space_group_name_H-M 'C 1 2/m 1'
_symmetry_Int_Tables_number 12
loop_
_symmetry_equiv_pos_as_xyz
'x,y,z'
'-x,-y,-z'
'-x,y,-z'
'x,-y,z'
'x+1/2,y+1/2,z'
'-x+1/2,-y+1/2,-z'
'-x+1/2,y+1/2,-z'
'x+1/2,-y+1/2,z'
loop_
_atom_site_label
_atom_site_type_symbol
_atom_site_fract_x
_atom_site_fract_y
_atom_site_fract_z
Rb1 Rb 0.000 0.000 0.000
Rb2 Rb 0.000 0.333 0.000
Dy1 Dy 0.000 0.500 0.500
Y1 Y 0.000 0.167 0.500
Se1 Se 0.232 0.000 0.696
Se2 Se 0.232 0.334 0.696
```

Computed properties:
total energy = -5.191 eV/atom
magnetization = 0.0 μB/f.u.
N(E_F) = 0.00 states/eV/cell
ΔE_f (raw) = -20.95 eV per formula unit
crystal system = monoclinic

***

(7)
The following is a PBE-GGA calculation of crystalline Rb3Dy2ZrSe6 at its relaxed geometry, from the Alexandria database.

```
data_Rb3Dy2ZrSe6
_chemical_formula_sum 'Rb6 Dy4 Zr2 Se12'
_cell_length_a 7.172
_cell_length_b 12.423
_cell_length_c 8.372
_cell_angle_alpha 90.00
_cell_angle_beta 106.61
_cell_angle_gamma 90.00
_symmetry_space_group_name_H-M 'C 1 2/m 1'
_symmetry_Int_Tables_number 12
loop_
_symmetry_equiv_pos_as_xyz
'x,y,z'
'-x,-y,-z'
'-x,y,-z'
'x,-y,z'
'x+1/2,y+1/2,z'
'-x+1/2,-y+1/2,-z'
'-x+1/2,y+1/2,-z'
'x+1/2,-y+1/2,z'
loop_
_atom_site_label
_atom_site_type_symbol
_atom_site_fract_x
_atom_site_fract_y
_atom_site_fract_z
Rb1 Rb 0.000 0.000 0.000
Rb2 Rb 0.000 0.330 0.000
Dy1 Dy 0.000 0.166 0.500
Zr1 Zr 0.000 0.500 0.500
Se1 Se 0.226 0.339 0.695
Se2 Se 0.244 0.000 0.696
```

Computed properties:
total energy = -5.031 eV/atom
magnetization = 0.0 μB/f.u.
N(E_F) = 9.33 states/eV/cell
ΔE_f (raw) = -18.82 eV per formula unit
crystal system = monoclinic

***

(8)
The following is a PBE-GGA calculation of crystalline Rb2Dy2ZrSe6 at its relaxed geometry, from the Alexandria database.

```
data_Rb2Dy2ZrSe6
_chemical_formula_sum 'Rb4 Dy4 Zr2 Se12'
_cell_length_a 7.101
_cell_length_b 12.222
_cell_length_c 8.554
_cell_angle_alpha 90.00
_cell_angle_beta 106.48
_cell_angle_gamma 90.00
_symmetry_space_group_name_H-M 'C 1 2/m 1'
_symmetry_Int_Tables_number 12
loop_
_symmetry_equiv_pos_as_xyz
'x,y,z'
'-x,-y,-z'
'-x,y,-z'
'x,-y,z'
'x+1/2,y+1/2,z'
'-x+1/2,-y+1/2,-z'
'-x+1/2,y+1/2,-z'
'x+1/2,-y+1/2,z'
loop_
_atom_site_label
_atom_site_type_symbol
_atom_site_fract_x
_atom_site_fract_y
_atom_site_fract_z
Rb1 Rb 0.000 0.170 0.000
Dy1 Dy 0.000 0.333 0.500
Zr1 Zr 0.000 0.000 0.500
Se1 Se 0.226 0.159 0.691
Se2 Se 0.247 0.500 0.690
```

Computed properties:
total energy = -5.333 eV/atom
magnetization = 0.0 μB/f.u.
ΔE_f (raw) = -18.07 eV per formula unit
crystal system = monoclinic

***

(9)
The following is a PBE-GGA calculation of crystalline Rb4SmDy3Te8 at its relaxed geometry, from the Alexandria database.

```
data_Rb4SmDy3Te8
_chemical_formula_sum 'Rb12 Sm3 Dy9 Te24'
_cell_length_a 9.0907
_cell_length_b 9.0907
_cell_length_c 25.6711
_cell_angle_alpha 90.00
_cell_angle_beta 90.00
_cell_angle_gamma 120.00
_symmetry_space_group_name_H-M 'R -3 m'
_symmetry_Int_Tables_number 166
_symmetry_space_group_name_Hall '-R 3 2"'
loop_
_atom_site_label
_atom_site_type_symbol
_atom_site_fract_x
_atom_site_fract_y
_atom_site_fract_z
Rb1 Rb 0.0000 0.0000 0.0000
Rb2 Rb 0.0000 0.5000 0.0000
Sm1 Sm 0.0000 0.0000 0.5000
Dy1 Dy 0.0000 0.5000 0.5000
Te1 Te 0.0000 0.0000 0.2329
Te2 Te 0.0042 0.5021 0.7665
```

Computed properties:
total energy = -4.359 eV/atom
magnetization = 0.0 μB/f.u.
ΔE_f (raw) = -22.21 eV per formula unit
crystal system = trigonal

***

(10)
The following is a PBE-GGA calculation of crystalline RbSm3Dy2Te6 at its relaxed geometry, from the Alexandria database.

```
data_RbSm3Dy2Te6
_chemical_formula_sum 'Rb2 Sm6 Dy4 Te12'
_cell_length_a 19.614
_cell_length_b 4.431
_cell_length_c 9.172
_cell_angle_alpha 90.00
_cell_angle_beta 103.60
_cell_angle_gamma 90.00
_symmetry_space_group_name_H-M 'C 1 2/m 1'
_symmetry_Int_Tables_number 12
loop_
_symmetry_equiv_pos_as_xyz
'x,y,z'
'-x,-y,-z'
'-x,y,-z'
'x,-y,z'
'x+1/2,y+1/2,z'
'-x+1/2,-y+1/2,-z'
'-x+1/2,y+1/2,-z'
'x+1/2,-y+1/2,z'
loop_
_atom_site_label
_atom_site_type_symbol
_atom_site_fract_x
_atom_site_fract_y
_atom_site_fract_z
Rb1 Rb 0.000 0.000 0.000
Sm1 Sm 0.000 0.000 0.500
Sm2 Sm 0.158 0.500 0.815
Dy1 Dy 0.168 0.500 0.342
Te1 Te 0.007 0.500 0.269
Te2 Te 0.168 0.000 0.577
Te3 Te 0.177 0.000 0.092
```

Computed properties:
total energy = -4.899 eV/atom
magnetization = 0.0 μB/f.u.
N(E_F) = 9.47 states/eV/cell
ΔE_f (raw) = -15.60 eV per formula unit
crystal system = monoclinic

***

(11)
The following is a PBE-GGA calculation of crystalline Rb2SmDyTe4 at its relaxed geometry, from the Alexandria database.

```
data_Rb2SmDyTe4
_chemical_formula_sum 'Rb2 Sm1 Dy1 Te4'
_cell_length_a 7.906
_cell_length_b 4.565
_cell_length_c 8.956
_cell_angle_alpha 90.00
_cell_angle_beta 107.11
_cell_angle_gamma 90.00
_symmetry_space_group_name_H-M 'P 1 2/m 1'
_symmetry_Int_Tables_number 10
loop_
_symmetry_equiv_pos_as_xyz
'x,y,z'
'-x,-y,-z'
'-x,y,-z'
'x,-y,z'
loop_
_atom_site_label
_atom_site_type_symbol
_atom_site_fract_x
_atom_site_fract_y
_atom_site_fract_z
Rb1 Rb 0.000 0.000 0.000
Rb2 Rb 0.500 0.500 0.000
Sm1 Sm 0.000 0.500 0.500
Dy1 Dy 0.500 0.000 0.500
Te1 Te 0.238 0.000 0.702
Te2 Te 0.271 0.500 0.300
```

Computed properties:
total energy = -4.370 eV/atom
magnetization = 0.0 μB/f.u.
ΔE_f (raw) = -11.14 eV per formula unit
crystal system = monoclinic

***

(12)
The following is a PBE-GGA calculation of crystalline RbSm2Dy3Te6 at its relaxed geometry, from the Alexandria database.

```
data_RbSm2Dy3Te6
_chemical_formula_sum 'Rb2 Sm4 Dy6 Te12'
_cell_length_a 19.678
_cell_length_b 4.394
_cell_length_c 9.192
_cell_angle_alpha 90.00
_cell_angle_beta 104.73
_cell_angle_gamma 90.00
_symmetry_space_group_name_H-M 'C 1 2/m 1'
_symmetry_Int_Tables_number 12
loop_
_symmetry_equiv_pos_as_xyz
'x,y,z'
'-x,-y,-z'
'-x,y,-z'
'x,-y,z'
'x+1/2,y+1/2,z'
'-x+1/2,-y+1/2,-z'
'-x+1/2,y+1/2,-z'
'x+1/2,-y+1/2,z'
loop_
_atom_site_label
_atom_site_type_symbol
_atom_site_fract_x
_atom_site_fract_y
_atom_site_fract_z
Rb1 Rb 0.000 0.000 0.000
Sm1 Sm 0.173 0.500 0.351
Dy1 Dy 0.000 0.000 0.500
Dy2 Dy 0.162 0.500 0.822
Te1 Te 0.002 0.500 0.273
Te2 Te 0.163 0.000 0.590
Te3 Te 0.177 0.000 0.084
```

Computed properties:
total energy = -4.892 eV/atom
magnetization = 0.0 μB/f.u.
N(E_F) = 8.73 states/eV/cell
ΔE_f (raw) = -15.64 eV per formula unit
crystal system = monoclinic